Density functional theory data (PBE) for an optimized crystal structure of ZrFe2.

Geometry as CIF:
```
data_ZrFe2
_chemical_formula_sum 'Zr4 Fe8'
_cell_length_a 4.987
_cell_length_b 4.987
_cell_length_c 8.123
_cell_angle_alpha 90.00
_cell_angle_beta 90.00
_cell_angle_gamma 120.00
_space_group_name_H-M_alt 'P 1'
_space_group_IT_number 1
_space_group_name_Hall 'P 1'
loop_
_atom_site_label
_atom_site_fract_x
_atom_site_fract_y
_atom_site_fract_z
_atom_site_occupancy
Fe1 0.168 0.335 0.750 1
Fe2 0.168 0.832 0.750 1
Zr1 0.333 0.667 0.438 1
Fe3 0.335 0.168 0.250 1
Fe4 0.832 0.665 0.250 1
Fe5 0.000 0.000 0.500 1
Zr2 0.667 0.333 0.938 1
Fe6 0.832 0.168 0.250 1
Fe7 0.665 0.832 0.750 1
Zr3 0.667 0.333 0.562 1
Fe8 0.000 0.000 0.000 1
Zr4 0.333 0.667 0.062 1
```

Summary:
Calculated formation energy: -267.4 meV per atom
Final energy: -8.759 eV/atom